VASP calculation (PBE) on a geometry-optimized La4PrHg2 structure. Values from VASP.

## Properties
**Raw total energy**: -3.83 eV/atom
**Energy above the most stable polymorph in this dataset**: 0.000 eV per atom

The structure in Quantum ESPRESSO input format:
```
&SYSTEM
  ibrav = 0, nat = 14, ntyp = 3
/
ATOMIC_SPECIES
Pr 140.91 Pr.upf
Hg 200.59 Hg.upf
La 138.91 La.upf
CELL_PARAMETERS angstrom
-1.845 -3.578 3.976
5.522 0.289 -1.201
1.902 11.939 11.624
ATOMIC_POSITIONS crystal
Pr 0.499 0.501 0.250
Pr 0.501 0.499 0.750
Hg 0.833 0.167 0.559
Hg 0.167 0.833 0.059
Hg 0.833 0.167 0.941
Hg 0.167 0.833 0.441
La 0.167 0.833 0.860
La 0.167 0.833 0.640
La 0.833 0.167 0.140
La 0.833 0.167 0.360
La 0.166 0.834 0.250
La 0.834 0.166 0.750
La 0.500 0.500 0.000
La 0.500 0.500 0.500
```